# 1
DFT (PBE-GGA) results for ScTlCdPb after structural relaxation.

extended XYZ file:
```
4
Lattice="-2.044 1.507 -3.592 -1.876 -4.484 -0.813 -3.654 1.070 2.529" Properties=species:S:1:pos:R:3 pbc="T T T"
Cd 0.000 0.000 0.000
Tl -2.849 1.289 -0.531
Sc -2.765 -1.707 0.858
Pb -1.960 -1.489 -2.203
```

Values from the calculation:
ρ ... 9.53 g cm⁻³
Raw total energy ... -3.491 eV/atom
Energy relative to the lowest polymorph listed for this composition ... 0 meV/atom
ΔE_f ... -0.6 eV/f.u.

# 2
DFT (PBE-GGA) results for Cd2PbSe after structural relaxation.

extended XYZ file:
```
4
Lattice="-3.480 -1.296 -4.356 -5.183 -1.246 2.085 3.458 4.475 0.880" Properties=species:S:1:pos:R:3 pbc="T T T"
Cd -3.028 0.979 0.915
Cd 0.000 0.000 0.000
Pb -4.331 -1.271 -1.136
Se -2.177 0.954 -2.306
```

Values from the calculation:
ρ ... 8.22 g cm⁻³
Raw total energy ... -2.267 eV/atom
E_form (uncorrected) ... -0.01 eV per atom
Energy relative to the lowest polymorph listed for this composition ... 169 meV/atom

# 3
DFT (PBE-GGA) results for CdPb3Se after structural relaxation.

extended XYZ file:
```
5
Lattice="5.718 0.000 0.000 0.000 5.718 0.000 0.000 0.000 5.718" Properties=species:S:1:pos:R:3 pbc="T T T"
Pb 0.000 2.859 0.000
Pb 2.859 0.000 0.000
Pb 0.000 0.000 2.859
Cd 2.859 2.859 2.859
Se 0.000 0.000 0.000
```

Values from the calculation:
ρ ... 7.22 g cm⁻³
Raw total energy ... -2.837 eV/atom
E_form (uncorrected) ... 0.27 eV per atom
Energy relative to the lowest polymorph listed for this composition ... 0 meV/atom

# 4
DFT (PBE-GGA) results for Cd2PbSe2 after structural relaxation.

extended XYZ file:
```
10
Lattice="-0.547 4.523 6.698 6.155 -4.118 3.283 2.510 2.546 -1.514" Properties=species:S:1:pos:R:3 pbc="T T T"
Pb 0.000 0.000 0.000
Pb 2.804 0.202 4.990
Se 2.339 1.784 1.900
Se 5.780 1.166 6.566
Se 2.650 3.654 5.561
Se 5.468 -0.704 2.905
Cd 0.405 2.310 4.555
Cd 5.204 -1.905 5.425
Cd 3.341 1.419 7.926
Cd 2.267 -1.014 2.054
```

Values from the calculation:
ρ ... 7.69 g cm⁻³
Raw total energy ... -2.633 eV/atom
E_form (uncorrected) ... -0.13 eV per atom
Energy relative to the lowest polymorph listed for this composition ... 67 meV/atom

# 5
DFT (PBE-GGA) results for Cd2PbSe after structural relaxation.

extended XYZ file:
```
4
Lattice="-4.393 -2.500 0.369 -1.753 -3.168 3.546 -3.699 3.144 3.734" Properties=species:S:1:pos:R:3 pbc="T T T"
Cd -7.539 -1.817 5.881
Cd -9.773 -2.524 7.588
Pb -5.215 -1.325 4.054
Se -2.087 -0.644 1.599
```

Values from the calculation:
ρ ... 7.64 g cm⁻³
Raw total energy ... -2.364 eV/atom
E_form (uncorrected) ... -0.11 eV per atom
Energy relative to the lowest polymorph listed for this composition ... 73 meV/atom

# 6
DFT (PBE-GGA) results for Cd2PbSe after structural relaxation.

extended XYZ file:
```
4
Lattice="4.093 0.000 0.000 0.000 5.403 -0.100 0.000 2.080 5.019" Properties=species:S:1:pos:R:3 pbc="T T T"
Pb 2.047 1.871 1.230
Se 2.047 5.612 3.689
Cd 0.000 7.276 4.788
Cd 0.000 3.948 2.591
```

Values from the calculation:
ρ ... 7.59 g cm⁻³
Raw total energy ... -2.424 eV/atom
E_form (uncorrected) ... -0.17 eV per atom
Energy relative to the lowest polymorph listed for this composition ... 13 meV/atom

# 7
DFT (PBE-GGA) results for CdPb5Se6 after structural relaxation.

extended XYZ file:
```
12
Lattice="-5.235 -2.979 4.519 -0.800 -7.315 -1.550 4.184 -5.084 3.595" Properties=species:S:1:pos:R:3 pbc="T T T"
Se -1.485 -2.472 0.751
Se -1.445 -8.637 5.289
Se -0.406 -6.741 1.275
Se -2.729 -4.456 4.459
Se 0.878 -10.922 2.105
Se -4.549 -7.821 2.218
Cd 0.000 0.000 0.000
Pb 2.248 -8.263 1.355
Pb 0.042 -6.099 4.401
Pb 1.137 -4.136 0.690
Pb -3.017 -5.147 1.484
Pb -1.893 -9.279 2.163
```

Values from the calculation:
ρ ... 7.78 g cm⁻³
Raw total energy ... -3.909 eV/atom
E_form (uncorrected) ... -0.54 eV per atom

# 8
DFT (PBE-GGA) results for Cd2PbSe after structural relaxation.

extended XYZ file:
```
4
Lattice="6.638 0.021 0.000 3.855 5.404 0.000 -5.247 -2.712 3.030" Properties=species:S:1:pos:R:3 pbc="T T T"
Pb 1.927 2.702 1.515
Cd 5.247 2.712 0.000
Cd 0.000 0.000 0.000
Se 3.319 0.010 1.515
```

Values from the calculation:
ρ ... 7.82 g cm⁻³
Raw total energy ... -2.346 eV/atom
E_form (uncorrected) ... -0.09 eV per atom
Energy relative to the lowest polymorph listed for this composition ... 91 meV/atom

# 9
DFT (PBE-GGA) results for CdPb4Se5 after structural relaxation.

extended XYZ file:
```
10
Lattice="-1.300 -3.863 1.438 2.883 -3.162 0.609 2.921 3.043 17.311" Properties=species:S:1:pos:R:3 pbc="T T T"
Se 2.985 -3.870 11.787
Se 0.000 0.000 0.000
Se 1.519 -0.111 7.570
Se 1.549 -3.572 4.796
Se 2.955 -0.410 14.561
Pb 2.323 -5.358 7.191
Pb 3.729 -2.196 16.959
Pb 2.181 1.377 12.166
Pb 0.774 -1.786 2.398
Cd 2.252 -1.991 9.679
```

Values from the calculation:
ρ ... 7.77 g cm⁻³
Raw total energy ... -3.862 eV/atom
E_form (uncorrected) ... -0.55 eV per atom

# 10
DFT (PBE-GGA) results for Cd2PbSe after structural relaxation.

extended XYZ file:
```
8
Lattice="-1.761 0.926 6.731 0.664 -6.897 1.123 4.696 -2.273 5.201" Properties=species:S:1:pos:R:3 pbc="T T T"
Pb 0.000 0.000 0.000
Pb 1.193 -2.166 7.929
Cd 0.213 -0.882 5.430
Cd 3.132 -4.166 6.882
Cd 2.540 -6.707 10.737
Cd 1.312 -4.733 3.060
Se 2.405 -6.078 5.125
Se -0.549 -2.985 3.927
```

Values from the calculation:
ρ ... 6.33 g cm⁻³
Raw total energy ... -2.311 eV/atom
E_form (uncorrected) ... -0.06 eV per atom
Energy relative to the lowest polymorph listed for this composition ... 126 meV/atom

# 11
DFT (PBE-GGA) results for CdPb3Se after structural relaxation.

extended XYZ file:
```
5
Lattice="5.626 0.000 0.000 0.000 5.626 0.000 0.000 0.000 5.626" Properties=species:S:1:pos:R:3 pbc="T T T"
Se 2.813 2.813 2.813
Pb 0.000 0.000 2.813
Pb 2.813 0.000 0.000
Pb 0.000 2.813 0.000
Cd 0.000 0.000 0.000
```

Values from the calculation:
ρ ... 7.58 g cm⁻³
Raw total energy ... -2.660 eV/atom
E_form (uncorrected) ... 0.44 eV per atom
Energy relative to the lowest polymorph listed for this composition ... 176 meV/atom

# 12
DFT (PBE-GGA) results for Cd2PbSe after structural relaxation.

extended XYZ file:
```
4
Lattice="4.891 -1.755 -0.786 0.836 -5.091 -1.004 1.507 -1.518 -4.800" Properties=species:S:1:pos:R:3 pbc="T T T"
Cd 1.808 -2.091 -1.648
Cd 5.425 -6.273 -4.944
Se 0.000 0.000 0.000
Pb 3.617 -4.182 -3.296
```

Values from the calculation:
ρ ... 8.27 g cm⁻³
Raw total energy ... -2.111 eV/atom
E_form (uncorrected) ... 0.14 eV per atom
Energy relative to the lowest polymorph listed for this composition ... 326 meV/atom

# 13
DFT (PBE-GGA) results for Cd2PbSe2 after structural relaxation.

extended XYZ file:
```
10
Lattice="8.169 0.000 0.000 0.000 8.169 0.000 0.000 0.000 3.812" Properties=species:S:1:pos:R:3 pbc="T T T"
Se 6.796 5.457 0.000
Se 5.457 1.373 0.000
Se 1.373 2.711 0.000
Se 2.711 6.796 0.000
Cd 1.121 5.206 1.906
Cd 2.963 1.121 1.906
Cd 5.206 7.047 1.906
Cd 7.047 2.963 1.906
Pb 4.084 4.084 0.000
Pb 0.000 0.000 0.000
```

Values from the calculation:
ρ ... 7.70 g cm⁻³
Raw total energy ... -2.700 eV/atom
E_form (uncorrected) ... -0.20 eV per atom
Energy relative to the lowest polymorph listed for this composition ... 0 meV/atom

# 14
DFT (PBE-GGA) results for Cd2PbSe2 after structural relaxation.

extended XYZ file:
```
5
Lattice="5.330 0.000 0.000 0.000 5.330 0.000 2.665 2.665 4.688" Properties=species:S:1:pos:R:3 pbc="T T T"
Se 2.665 5.330 2.344
Se 5.330 2.665 2.344
Pb 0.000 0.000 0.000
Cd 5.330 5.330 3.329
Cd 2.665 2.665 1.360
```

Values from the calculation:
ρ ... 7.35 g cm⁻³
Raw total energy ... -2.670 eV/atom
E_form (uncorrected) ... -0.17 eV per atom
Energy relative to the lowest polymorph listed for this composition ... 30 meV/atom

# 15
DFT (PBE-GGA) results for CdPb3Se4 after structural relaxation.

extended XYZ file:
```
8
Lattice="14.240 0.029 0.017 13.579 4.288 0.017 13.579 2.107 3.734" Properties=species:S:1:pos:R:3 pbc="T T T"
Se 26.104 4.050 2.376
Se 15.295 2.373 1.392
Se 36.286 5.630 3.303
Se 5.113 0.793 0.465
Pb 20.700 3.212 1.884
Pb 10.486 1.627 0.954
Pb 30.913 4.797 2.814
Cd 0.000 0.000 0.000
```

Values from the calculation:
ρ ... 7.73 g cm⁻³
Raw total energy ... -3.789 eV/atom
E_form (uncorrected) ... -0.54 eV per atom
Energy relative to the lowest polymorph listed for this composition ... 0 meV/atom

# 16
DFT (PBE-GGA) results for Cd2Pb2Se after structural relaxation.

extended XYZ file:
```
10
Lattice="-1.288 2.224 -6.988 -7.085 1.454 1.768 1.274 4.683 1.255" Properties=species:S:1:pos:R:3 pbc="T T T"
Se -4.186 1.839 -2.610
Se 0.000 0.000 0.000
Pb -6.147 5.033 -2.526
Pb -2.828 4.693 -4.625
Pb -0.952 3.328 -1.439
Pb -4.270 3.668 0.661
Cd -2.745 0.833 -0.321
Cd -1.796 1.618 -4.212
Cd -6.576 2.060 -1.007
Cd -5.628 2.845 -4.899
```

Values from the calculation:
ρ ... 8.58 g cm⁻³
Raw total energy ... -2.548 eV/atom
E_form (uncorrected) ... 0.00 eV per atom
Energy relative to the lowest polymorph listed for this composition ... 0 meV/atom

# 17
DFT (PBE-GGA) results for Cd2PbSe after structural relaxation.

extended XYZ file:
```
4
Lattice="3.822 0.000 0.000 0.000 3.817 0.264 0.000 3.227 7.430" Properties=species:S:1:pos:R:3 pbc="T T T"
Cd 1.911 1.783 1.739
Cd 0.000 3.227 7.261
Se 1.911 5.206 6.380
Pb 0.000 3.575 3.590
```

Values from the calculation:
ρ ... 8.07 g cm⁻³
Raw total energy ... -2.374 eV/atom
E_form (uncorrected) ... -0.12 eV per atom
Energy relative to the lowest polymorph listed for this composition ... 63 meV/atom

# 18
DFT (PBE-GGA) results for CdPb3Se4 after structural relaxation.

extended XYZ file:
```
8
Lattice="4.338 0.000 0.000 0.000 4.338 0.000 0.000 0.000 12.121" Properties=species:S:1:pos:R:3 pbc="T T T"
Se 2.169 2.169 6.061
Se 2.169 2.169 0.000
Se 0.000 0.000 2.844
Se 0.000 0.000 9.277
Cd 0.000 0.000 0.000
Pb 0.000 0.000 6.061
Pb 2.169 2.169 2.947
Pb 2.169 2.169 9.175
```

Values from the calculation:
ρ ... 7.64 g cm⁻³
Raw total energy ... -3.770 eV/atom
E_form (uncorrected) ... -0.52 eV per atom
Energy relative to the lowest polymorph listed for this composition ... 19 meV/atom

# 19
DFT (PBE-GGA) results for Cd2PbSe after structural relaxation.

extended XYZ file:
```
4
Lattice="-2.242 -2.576 -4.071 3.005 -1.738 -4.022 0.837 -5.209 -0.633" Properties=species:S:1:pos:R:3 pbc="T T T"
Se 1.201 -7.142 -6.545
Cd 0.000 0.000 0.000
Cd 0.400 -2.381 -2.182
Pb 0.800 -4.761 -4.363
```

Values from the calculation:
ρ ... 8.00 g cm⁻³
Raw total energy ... -2.225 eV/atom
E_form (uncorrected) ... 0.03 eV per atom
Energy relative to the lowest polymorph listed for this composition ... 211 meV/atom

# 20
DFT (PBE-GGA) results for CdPb4Se after structural relaxation.

extended XYZ file:
```
6
Lattice="-5.023 2.827 2.878 -2.049 5.762 -2.026 -5.622 0.510 -3.104" Properties=species:S:1:pos:R:3 pbc="T T T"
Cd 0.000 0.000 0.000
Se -9.521 6.824 -1.690
Pb -7.576 3.664 -2.401
Pb -4.755 3.408 -0.844
Pb -5.783 6.299 -1.860
Pb -7.275 4.827 0.600
```

Values from the calculation:
ρ ... 8.96 g cm⁻³
Raw total energy ... -2.971 eV/atom
E_form (uncorrected) ... 0.23 eV per atom